The following is a DFT calculation (GGA-PBE) of an optimized crystal structure of KScTe3Au.

Calculated values
size of the total moment: 0.001 μB per atom
final energy: -4.186 eV/atom
crystal system: orthorhombic

Unit cell a=16.404 b=4.146 c=11.193 alpha=90.00 beta=90.00 gamma=90.00
Fractional coordinates of all 24 atoms:
K 0.230 0.250 0.050
K 0.270 0.750 0.550
K 0.730 0.250 0.450
K 0.770 0.750 0.950
Sc 0.017 0.250 0.337
Sc 0.483 0.750 0.837
Sc 0.517 0.250 0.163
Sc 0.983 0.750 0.663
Te 0.096 0.250 0.574
Te 0.096 0.750 0.865
Te 0.135 0.750 0.270
Te 0.365 0.250 0.770
Te 0.404 0.250 0.365
Te 0.404 0.750 0.074
Te 0.596 0.250 0.926
Te 0.596 0.750 0.635
Te 0.635 0.750 0.230
Te 0.865 0.250 0.730
Te 0.904 0.250 0.135
Te 0.904 0.750 0.426
Au 0.017 0.750 0.096
Au 0.483 0.250 0.596
Au 0.517 0.750 0.404
Au 0.983 0.250 0.904